A relaxed Mn2SnTePd crystal. Source: Alexandria via LeMat-Bulk, functional PBE.

Results
V: 132 Å³/cell
ΔE_f (raw): 0.602 eV per atom
D(E_F): 4.75 states/eV/f.u.
Crystal system: tetragonal
Spin magnetization: 7.59 μB per formula unit

Geometry as CIF:
```
data_Mn2SnTePd
_chemical_formula_sum 'Mn2 Sn1 Te1 Pd1'
_symmetry_space_group_name_H-M 'P 4/m m m'
_symmetry_Int_Tables_number 123
_symmetry_space_group_name_Hall '-P 4 2'
_cell_length_a 5.1138
_cell_length_b 5.1138
_cell_length_c 5.0350
_cell_angle_alpha 90.00
_cell_angle_beta 90.00
_cell_angle_gamma 90.00
loop_
_atom_site_label
_atom_site_type_symbol
_atom_site_fract_x
_atom_site_fract_y
_atom_site_fract_z
_atom_site_occupancy
Mn1 Mn 0.0000 0.5000 0.0000 1
Sn1 Sn 0.0000 0.0000 0.5000 1
Te1 Te 0.5000 0.5000 0.0000 1
Pd1 Pd 0.5000 0.5000 0.5000 1
```